Ac3CoAg4O8 | PBE with a Hubbard U | relaxed

The structure belongs to space group C2/m (No. 12); the cell edges are 12.6687, 7.1295 and 6.6025 Å and the angles 90.00°, 114.53° and 90.00°. Symmetry generates all atoms from Ac at (0.0000, 0.0000, 0.0000), Ac at (0.2500, 0.2500, 0.5000), Co at (0.0000, 0.5000, 0.0000), Ag at (0.0000, 0.0000, 0.5000), Ag at (0.0000, 0.5000, 0.5000), Ag at (0.2500, 0.2500, 0.0000), O at (0.0433, 0.3145, 0.2217), O at (0.1807, 0.0000, 0.6780) and O at (0.2191, 0.0000, 0.2085).

For the total energy, the calculation gives -187.628 eV per cell.